Below is MoRu2Pt after structural relaxation, with properties calculated at the PBE level.

Cell lengths 4.412, 4.412, 4.412 Å; angles 60.00, 60.00, 60.00 degrees
Element x y z (fractional)
Pt  0.250  0.250  0.250
Mo  0.500  0.500  0.500
Ru  0.000  0.000  0.000
Ru  0.750  0.750  0.750

Distance to the lowest polymorph of the same formula: 0.482 eV per atom
DFT formation energy: 1.3 eV/f.u.